[1]
This record from the Alexandria database describes a relaxed Cu4AgHg crystal. The functional is PBE.

Structure (POSCAR):
```
Cu4AgHg
1.0
0.000 3.532 3.532
3.532 0.000 3.532
3.532 3.532 0.000
Cu Hg Ag
4 1 1
Cartesian
4.417 4.417 4.417
2.647 2.647 4.417
2.647 4.417 2.647
4.417 2.647 2.647
1.766 1.766 1.766
0.000 0.000 0.000
```

Its energy of formation is 0.1046 eV per atom. As for the uncorrected energy: -3.1516 eV per atom. The space-group type is F-43m.

[2]
This record from the Alexandria database describes a relaxed LiRePdCl2 crystal. The functional is PBE.

Structure (POSCAR):
```
LiRePdCl2
1.0
4.330 0.000 0.000
0.000 5.437 0.000
0.000 0.000 4.330
Pd Cl Li Re
1 2 1 1
Cartesian
2.165 2.719 2.165
0.000 0.000 2.165
2.165 0.000 0.000
0.000 0.000 0.000
0.000 2.719 0.000
```

As for the uncorrected energy: -3.8320 eV per atom. The space-group type is P4/mmm.

[3]
This record from the Alexandria database describes a relaxed TlHg2F4 crystal. The functional is PBE.

Structure (POSCAR):
```
TlHg2F4
1.0
7.674 0.151 1.637
-3.184 5.937 2.367
-0.055 -0.542 6.161
F Hg Tl
8 4 2
Cartesian
3.225 2.857 3.287
1.239 0.182 4.400
0.154 2.976 5.714
0.346 4.363 3.082
6.445 1.800 4.092
4.580 4.390 5.815
1.593 0.946 1.590
4.136 0.097 3.133
4.330 1.937 5.081
0.818 2.211 3.494
-1.081 4.773 5.056
3.953 0.929 7.463
1.987 4.175 7.187
7.210 0.516 1.922
```

As for the uncorrected energy: -2.9293 eV per atom. The space-group type is P1.

[4]
This record from the Alexandria database describes a relaxed CaNbFe2 crystal. The functional is PBE.

Structure (POSCAR):
```
CaNbFe2
1.0
4.036 -0.174 -1.909
2.792 -3.348 0.979
0.892 -3.132 -3.059
Ca Nb Fe
1 1 2
Cartesian
0.000 0.000 0.000
3.859 -3.326 -1.994
5.789 -4.990 -2.992
1.930 -1.663 -0.997
```

Its energy of formation is 0.5113 eV per atom. As for the uncorrected energy: -6.7379 eV per atom. The space-group type is Fm-3m.

[5]
This record from the Alexandria database describes a relaxed Sm2DyGe4Pt3 crystal. The functional is PBE.

Structure (POSCAR):
```
Sm2DyGe4Pt3
1.0
-0.919 -3.027 -2.877
2.605 -2.718 2.028
-8.674 -3.499 6.454
Pt Ge Dy Sm
3 4 1 2
Cartesian
0.268 -1.776 1.783
-4.337 -1.750 3.227
-8.100 -4.596 4.246
-6.213 -3.835 2.842
-1.619 -2.538 3.187
0.000 0.000 0.000
0.843 -2.873 -0.425
-3.494 -4.623 2.802
-5.359 -4.047 5.970
-2.472 -2.326 0.059
```

Its energy of formation is -0.8924 eV per atom. As for the uncorrected energy: -5.9556 eV per atom. The space-group type is P-4m2.

[6]
This record from the Alexandria database describes a relaxed Ce2NiH crystal. The functional is PBE.

Structure (POSCAR):
```
Ce2NiH
1.0
3.196 0.000 0.000
0.000 3.196 0.000
0.000 0.000 6.518
H Ni Ce
1 1 2
Cartesian
1.598 1.598 3.259
1.598 1.598 0.000
0.000 0.000 4.660
0.000 0.000 1.858
```

As for the uncorrected energy: -5.4238 eV per atom. The space-group type is P4/mmm.

[7]
This record from the Alexandria database describes a relaxed LiFeS2 crystal. The functional is PBE.

Structure (POSCAR):
```
LiFeS2
1.0
0.000 2.947 2.947
2.947 0.000 2.947
2.947 2.947 0.000
Fe S Li
1 2 1
Cartesian
2.947 2.947 2.947
4.420 4.420 4.420
1.473 1.473 1.473
0.000 0.000 0.000
```

As for the uncorrected energy: -4.8600 eV per atom. The space-group type is Fm-3m.

[8]
This record from the Alexandria database describes a relaxed Tm2ScBi3 crystal. The functional is PBE.

Structure (POSCAR):
```
Tm2ScBi3
1.0
4.376 0.000 0.000
0.000 6.202 0.000
-2.188 -3.101 6.569
Tm Bi Sc
2 3 1
Cartesian
3.282 4.652 1.070
-1.094 -1.551 5.500
-1.094 1.551 5.393
3.282 1.551 1.176
1.094 -1.551 3.285
1.094 1.551 3.285
```

Its energy of formation is -0.7353 eV per atom. As for the uncorrected energy: -5.2215 eV per atom. The space-group type is Immm.